Here is a relaxed structure of Nd5Ho4Tl from Alexandria via LeMat-Bulk. Energies are from GGA-PBE.

abc: 4.1919 4.1919 18.4343
angles: 90.00 90.00 90.00
With the nearest neighbours (Å) after each atom.
Atoms (fractional coordinates):
Nd (0.0000, 0.0000, 0.0000)  8 Ho 3.51, 2 Nd 3.77
Nd (0.0000, 0.0000, 0.2044)  8 Ho 3.49-3.51, 2 Nd 3.77
Nd (0.0000, 0.0000, 0.4088)  1 Nd 3.36, 4 Tl 3.41, 4 Ho 3.53
Nd (0.0000, 0.0000, 0.5912)  1 Nd 3.36, 4 Tl 3.41, 4 Ho 3.53
Nd (0.0000, 0.0000, 0.7956)  8 Ho 3.49-3.51, 2 Nd 3.77
Ho (0.5000, 0.5000, 0.1023)  8 Nd 3.51, 2 Ho 3.73-3.77
Ho (0.5000, 0.5000, 0.3046)  8 Nd 3.49-3.53, 1 Tl 3.60, 1 Ho 3.73
Ho (0.5000, 0.5000, 0.6954)  8 Nd 3.49-3.53, 1 Tl 3.60, 1 Ho 3.73
Ho (0.5000, 0.5000, 0.8977)  8 Nd 3.51, 2 Ho 3.73-3.77
Tl (0.5000, 0.5000, 0.5000)  8 Nd 3.41, 2 Ho 3.60

Output
**Space group**: P4/mmm
**Energy relative to the lowest polymorph listed for this composition**: 0.0 meV per atom
**Total magnetic moment**: 0.00 Bohr magnetons per cell
**E_form**: 0.01 eV per atom